VASP calculation (PBE) on crystalline ThU5 at its relaxed geometry.

Properties
Magnetization   1.2 μB per cell

Unit cell a=4.121 b=5.210 c=6.759 alpha=112.67 beta=90.00 gamma=90.00
Each line ends with the local moment (μB).
Positions (direct):
Th1 0.000 0.000 0.000  0.00
U1 0.000 0.330 0.659  0.12
U2 0.000 0.670 0.341  0.12
U3 0.500 0.194 0.387  0.02
U4 0.500 0.806 0.613  0.02
U5 0.500 0.500 0.000  0.87

***

VASP calculation (PBE) on crystalline ThU6 at its relaxed geometry.

Properties
Magnetization   0.0 μB per cell

Unit cell a=6.167 b=6.167 c=6.167 alpha=109.47 beta=109.47 gamma=109.47
Positions (direct):
U1 0.750 0.500 0.250
U2 0.500 0.750 0.250
U3 0.250 0.750 0.500
U4 0.250 0.500 0.750
U5 0.750 0.250 0.500
U6 0.500 0.250 0.750
Th1 0.000 0.000 0.000

***

VASP calculation (PBE) on crystalline ThUV4 at its relaxed geometry.

Properties
Magnetization   0.5 μB per cell

Unit cell a=5.312 b=5.312 c=5.312 alpha=60.00 beta=60.00 gamma=60.00
Each line ends with the local moment (μB).
Positions (direct):
Th1 0.250 0.250 0.250  -0.01
V1 0.627 0.627 0.627  0.06
V2 0.627 0.627 0.119  0.06
V3 0.119 0.627 0.627  0.06
V4 0.627 0.119 0.627  0.06
U1 0.000 0.000 0.000  -0.64

***

VASP calculation (PBE) on crystalline ThU2V at its relaxed geometry.

Properties
Magnetization   1.8 μB per cell

Unit cell a=3.567 b=3.567 c=6.994 alpha=90.00 beta=90.00 gamma=90.00
Each line ends with the local moment (μB).
Positions (direct):
U1 0.000 0.000 0.184  0.81
U2 0.000 0.000 0.816  0.81
Th1 0.500 0.500 0.500  0.04
V1 0.500 0.500 0.000  0.04

***

VASP calculation (PBE) on crystalline ThUV at its relaxed geometry.

Properties
Magnetization   0.0 μB per cell

Unit cell a=5.851 b=8.763 c=8.990 alpha=85.98 beta=71.01 gamma=70.50
Positions (direct):
V1 0.786 0.162 0.737
V2 0.027 0.914 0.491
V3 0.456 0.930 0.286
V4 0.315 0.662 0.237
V5 0.568 0.414 0.991
V6 0.328 0.430 0.786
Th1 0.547 0.295 0.297
Th2 0.265 0.175 0.049
Th3 0.861 0.795 0.797
Th4 0.511 0.675 0.549
Th5 0.906 0.561 0.137
Th6 0.396 0.061 0.637
U1 0.861 0.918 0.273
U2 0.064 0.523 0.492
U3 0.918 0.272 0.489
U4 0.322 0.772 0.989
U5 0.921 0.023 0.992
U6 0.949 0.418 0.773

***

VASP calculation (PBE) on crystalline YThU at its relaxed geometry.

Properties
Magnetization   0.0 μB per cell

Unit cell a=3.605 b=5.786 c=8.744 alpha=99.04 beta=101.89 gamma=90.00
Positions (direct):
Y1 0.564 0.778 0.128
Y2 0.436 0.222 0.872
Th1 0.125 0.303 0.250
Th2 0.875 0.697 0.750
U1 0.238 0.849 0.476
U2 0.762 0.151 0.524

***

What are the energy of formation values for these records? In order: 0.2809 0.7931 0.2184 0.4089 0.3780 0.2269 eV per atom.